Model a:
## Co2CuW (SCAN)

Data for a PBEsol-optimized structure of Co2CuW.

abc: 2.5870 2.5870 7.1428
angles: 90.00 90.00 90.00
Atoms (fractional coordinates):
Co: 0.0000 0.0000 0.0000
Co: 0.5000 0.5000 0.2122
Cu: 0.5000 0.5000 0.7588
W: 0.0000 0.0000 0.4815


Model b:
## Co2CuW (SCAN)

Data for a PBEsol-optimized structure of Co2CuW.

abc: 4.0662 4.0662 4.0662
angles: 60.00 60.00 60.00
Atoms (fractional coordinates):
Co: 0.0000 0.0000 0.0000
Co: 0.2500 0.2500 0.2500
Cu: 0.5000 0.5000 0.5000
W: 0.7500 0.7500 0.7500


Taking the most stable structure as the zero point, the relative energies in meV/atom are model a 0; model b 112.


Model a:
## CoGeN2F (SCAN)

Data for a PBEsol-optimized structure of CoGeN2F.

abc: 3.6491 3.6491 3.9485
angles: 90.00 90.00 90.00
Atoms (fractional coordinates):
Co: 0.0000 0.0000 0.0000
Ge: 0.5000 0.5000 0.5000
N: 0.0000 0.5000 0.0000
N: 0.5000 0.0000 0.0000
F: 0.0000 0.0000 0.5000


Model b:
## CoGeN2F (SCAN)

Data for a PBEsol-optimized structure of CoGeN2F.

abc: 3.7510 3.7510 3.7257
angles: 90.00 90.00 90.00
Atoms (fractional coordinates):
Co: 0.0000 0.0000 0.0000
Ge: 0.5000 0.5000 0.5000
N: 0.0000 0.5000 0.5000
N: 0.5000 0.0000 0.5000
F: 0.5000 0.5000 0.0000


Taking the most stable structure as the zero point, the relative energies in meV/atom are model a 0; model b 53.


Model a:
## CoI2NF (SCAN)

Data for a PBEsol-optimized structure of CoI2NF.

abc: 5.2468 5.2468 3.3297
angles: 90.00 90.00 90.00
Atoms (fractional coordinates):
Co: 0.0000 0.0000 0.0000
I: 0.0000 0.5000 0.0000
I: 0.5000 0.0000 0.0000
N: 0.0000 0.0000 0.5000
F: 0.5000 0.5000 0.5000


Model b:
## CoI2NF (SCAN)

Data for a PBEsol-optimized structure of CoI2NF.

abc: 5.1908 5.1908 3.6952
angles: 90.00 90.00 90.00
Atoms (fractional coordinates):
Co: 0.0000 0.0000 0.0000
I: 0.0000 0.5000 0.5000
I: 0.5000 0.0000 0.5000
N: 0.5000 0.5000 0.0000
F: 0.5000 0.5000 0.5000


Taking the most stable structure as the zero point, the relative energies in meV/atom are model a 0; model b 1080.


Model a:
## LiCo2OF3 (SCAN)

Data for a PBEsol-optimized structure of LiCo2OF3.

abc: 5.7421 5.7421 5.2001
angles: 90.00 90.00 120.00
Atoms (fractional coordinates):
Li: 0.3333 0.6667 0.0282
Li: 0.6667 0.3333 0.9718
Co: 0.0000 0.0000 0.0000
Co: 0.0000 0.5000 0.5000
Co: 0.5000 0.0000 0.5000
Co: 0.5000 0.5000 0.5000
O: 0.3333 0.6667 0.6739
O: 0.6667 0.3333 0.3261
F: 0.1706 0.3412 0.2197
F: 0.1706 0.8294 0.2197
F: 0.3412 0.1706 0.7803
F: 0.6588 0.8294 0.2197
F: 0.8294 0.1706 0.7803
F: 0.8294 0.6588 0.7803


Model b:
## LiCo2OF3 (SCAN)

Data for a PBEsol-optimized structure of LiCo2OF3.

abc: 5.6544 5.6544 5.8981
angles: 116.95 116.95 62.75
Atoms (fractional coordinates):
Li: 0.0000 0.0000 0.0000
Li: 0.0000 0.0000 0.5000
Co: 0.0000 0.5000 0.0000
Co: 0.3835 0.3835 0.5414
Co: 0.5000 0.0000 0.0000
Co: 0.6165 0.6165 0.4586
O: 0.2487 0.2487 0.1816
O: 0.7513 0.7513 0.8184
F: 0.2224 0.7551 0.2349
F: 0.2443 0.2443 0.7143
F: 0.2449 0.7776 0.7651
F: 0.7551 0.2224 0.2349
F: 0.7557 0.7557 0.2857
F: 0.7776 0.2449 0.7651


Taking the most stable structure as the zero point, the relative energies in meV/atom are model a 0; model b 47.


Model a:
## Li5CoOF5 (SCAN)

Data for a PBEsol-optimized structure of Li5CoOF5.

abc: 3.1019 3.1019 14.7117
angles: 90.00 90.00 120.00
Atoms (fractional coordinates):
Li: 0.0000 0.0000 0.0000
Li: 0.0000 0.0000 0.3271
Li: 0.0000 0.0000 0.6554
Li: 0.6667 0.3333 0.1637
Li: 0.6667 0.3333 0.4905
Co: 0.6667 0.3333 0.8221
O: 0.0000 0.0000 0.7901
F: 0.0000 0.0000 0.1269
F: 0.0000 0.0000 0.4538
F: 0.6667 0.3333 0.2904
F: 0.6667 0.3333 0.6173
F: 0.6667 0.3333 0.9663


Model b:
## Li5CoOF5 (SCAN)

Data for a PBEsol-optimized structure of Li5CoOF5.

abc: 2.8223 2.8223 12.4066
angles: 90.00 90.00 90.00
Atoms (fractional coordinates):
Li: 0.0000 0.0000 0.0000
Li: 0.0000 0.0000 0.3268
Li: 0.0000 0.0000 0.6732
Li: 0.5000 0.5000 0.1607
Li: 0.5000 0.5000 0.8393
Co: 0.5000 0.5000 0.5000
O: 0.0000 0.0000 0.5000
F: 0.0000 0.0000 0.1617
F: 0.0000 0.0000 0.8383
F: 0.5000 0.5000 0.0000
F: 0.5000 0.5000 0.3215
F: 0.5000 0.5000 0.6785


Taking the most stable structure as the zero point, the relative energies in meV/atom are model a 40; model b 0.


Model a:
## Li3Co3OF7 (SCAN)

Data for a PBEsol-optimized structure of Li3Co3OF7.

abc: 5.9223 5.9223 5.9662
angles: 119.63 119.63 58.18
Atoms (fractional coordinates):
Li: 0.0000 0.0000 0.0000
Li: 0.0110 0.0110 0.5380
Li: 0.6304 0.6304 0.8957
Co: 0.0293 0.4889 0.5301
Co: 0.3784 0.3784 0.1117
Co: 0.4889 0.0293 0.5301
O: 0.2468 0.2468 0.7417
F: 0.2369 0.7566 0.7571
F: 0.2414 0.2414 0.2442
F: 0.2463 0.7828 0.2741
F: 0.7566 0.2369 0.7571
F: 0.7590 0.7590 0.3033
F: 0.7664 0.7664 0.7720
F: 0.7828 0.2463 0.2741


Model b:
## Li3Co3OF7 (SCAN)

Data for a PBEsol-optimized structure of Li3Co3OF7.

abc: 6.0115 6.0115 6.0115
angles: 57.38 57.38 57.38
Atoms (fractional coordinates):
Li: 0.0000 0.0000 0.0000
Li: 0.2565 0.2565 0.2565
Li: 0.6188 0.6188 0.6188
Co: 0.0913 0.6487 0.6487
Co: 0.6487 0.0913 0.6487
Co: 0.6487 0.6487 0.0913
O: 0.8764 0.8764 0.8764
F: 0.3783 0.3783 0.8597
F: 0.3783 0.8597 0.3783
F: 0.3919 0.8605 0.8605
F: 0.3935 0.3935 0.3935
F: 0.8597 0.3783 0.3783
F: 0.8605 0.3919 0.8605
F: 0.8605 0.8605 0.3919


Taking the most stable structure as the zero point, the relative energies in meV/atom are model a 0; model b 11.